This record from the Alexandria database describes a geometry-optimized ScH3Rh2 structure. The functional is PBE.

Lattice parameters (Å, degrees): 4.008 4.198 6.769 90.50 107.22 90.00
Fractional positions:
1 H 0.771 0.775 0.542
2 Sc 0.400 0.254 0.800
3 H 0.057 0.798 0.114
4 Rh 0.078 0.249 0.155
5 Rh 0.922 0.751 0.845
6 H 0.606 0.248 0.212
7 Rh 0.748 0.253 0.496
8 H 0.229 0.225 0.458
9 Rh 0.252 0.747 0.504
10 H 0.943 0.202 0.886
11 H 0.394 0.752 0.788
12 Sc 0.600 0.746 0.200

Output
Size of the total moment (μB per cell): 0.00
Offset from the most stable computed form (eV/atom): 0.009
Total DFT energy (no corrections) (eV/atom): -5.644

=====

This record from the Alexandria database describes a geometry-optimized ScH3Rh structure. The functional is PBE.

Lattice parameters (Å, degrees): 12.513 4.861 4.872 90.00 138.22 90.00
Fractional positions:
1 H 0.637 0.044 0.754
2 Sc 0.871 0.755 0.357
3 H 0.864 0.286 0.304
4 H 0.363 0.956 0.246
5 H 0.137 0.456 0.254
6 H 0.427 0.457 0.556
7 H 0.863 0.544 0.746
8 H 0.136 0.714 0.696
9 H 0.573 0.543 0.444
10 Rh 0.547 0.749 0.719
11 Sc 0.371 0.745 0.857
12 Rh 0.953 0.249 0.781
13 Rh 0.453 0.251 0.281
14 Rh 0.047 0.751 0.219
15 H 0.364 0.214 0.804
16 H 0.636 0.786 0.196
17 Sc 0.629 0.255 0.143
18 Sc 0.129 0.245 0.643
19 H 0.927 0.043 0.056
20 H 0.073 0.957 0.944

Output
Size of the total moment (μB per cell): 0.00
Total DFT energy (no corrections) (eV/atom): -5.236

=====

This record from the Alexandria database describes a geometry-optimized Sc2HRh structure. The functional is PBE.

Lattice parameters (Å, degrees): 6.998 6.998 6.998 31.76 31.76 31.76
Fractional positions:
1 Sc 0.098 0.098 0.098
2 Rh 0.500 0.500 0.500
3 H 0.000 0.000 0.000
4 Sc 0.902 0.902 0.902

Output
Size of the total moment (μB per cell): 0.00
Offset from the most stable computed form (eV/atom): 0.328
Total DFT energy (no corrections) (eV/atom): -6.197

=====

This record from the Alexandria database describes a geometry-optimized ScH3Rh structure. The functional is PBE.

Lattice parameters (Å, degrees): 3.649 4.463 5.801 90.11 71.67 90.00
Fractional positions:
1 H 0.146 0.765 0.168
2 Sc 0.305 0.047 0.850
3 Rh 0.036 0.027 0.389
4 H 0.529 0.037 0.401
5 Sc 0.568 0.551 0.323
6 Rh 0.860 0.566 0.740
7 H 0.134 0.314 0.192
8 H 0.737 0.344 0.985
9 H 0.358 0.571 0.743
10 H 0.894 0.176 0.672

Output
Size of the total moment (μB per cell): 0.00
Total DFT energy (no corrections) (eV/atom): -5.269

=====

This record from the Alexandria database describes a geometry-optimized ScH3Rh structure. The functional is PBE.

Lattice parameters (Å, degrees): 3.627 3.627 3.627 90.00 90.00 90.00
Site moments in Bohr magnetons follow the coordinates.
Fractional positions:
1 Sc 0.000 0.000 0.000  -0.02
2 H 0.000 0.000 0.500  0.01
3 H 0.000 0.500 0.000  0.01
4 Rh 0.500 0.500 0.500  0.90
5 H 0.500 0.000 0.000  0.02

Output
Size of the total moment (μB per cell): 0.92
Total DFT energy (no corrections) (eV/atom): -4.587

=====

This record from the Alexandria database describes a geometry-optimized ScH7Rh2 structure. The functional is PBE.

Lattice parameters (Å, degrees): 3.497 4.932 4.932 111.85 90.00 90.00
Fractional positions:
1 H 0.000 0.711 0.289
2 Sc 0.000 0.000 0.000
3 Rh 0.500 0.292 0.708
4 H 0.500 0.320 0.072
5 H 0.000 0.289 0.711
6 Rh 0.500 0.708 0.292
7 H 0.500 0.680 0.928
8 H 0.500 0.072 0.320
9 H 0.500 0.928 0.680
10 H 0.500 0.500 0.500

Output
Size of the total moment (μB per cell): 0.00
Total DFT energy (no corrections) (eV/atom): -4.651

=====

This record from the Alexandria database describes a geometry-optimized ScH2Rh2 structure. The functional is PBE.

Lattice parameters (Å, degrees): 3.254 3.254 5.585 73.07 73.07 90.00
Fractional positions:
1 H 0.750 0.250 0.500
2 Sc 0.000 0.000 0.000
3 Rh 0.651 0.651 0.699
4 Rh 0.349 0.349 0.301
5 H 0.250 0.750 0.500

Output
Size of the total moment (μB per cell): 0.00
Offset from the most stable computed form (eV/atom): 0.000
Total DFT energy (no corrections) (eV/atom): -5.958

=====

This record from the Alexandria database describes a geometry-optimized Sc2HRh structure. The functional is PBE.

Lattice parameters (Å, degrees): 6.101 6.101 5.433 55.84 55.84 90.00
Fractional positions:
1 Rh 0.000 0.000 0.000
2 Sc 0.203 0.625 0.250
3 H 0.500 0.500 0.000
4 Sc 0.875 0.797 0.750
5 Sc 0.375 0.453 0.750
6 Rh 0.750 0.250 0.500
7 H 0.250 0.750 0.500
8 Sc 0.547 0.125 0.250

Output
Size of the total moment (μB per cell): 0.00
Offset from the most stable computed form (eV/atom): 0.156
Total DFT energy (no corrections) (eV/atom): -6.368

=====

This record from the Alexandria database describes a geometry-optimized ScH8Rh5 structure. The functional is PBE.

Lattice parameters (Å, degrees): 5.332 5.332 5.332 105.59 105.59 117.55
Fractional positions:
1 Sc 0.250 0.750 0.500
2 H 0.699 0.432 0.295
3 Rh 0.370 0.279 0.402
4 H 0.596 0.301 0.733
5 Rh 0.032 0.630 0.909
6 H 0.568 0.864 0.267
7 H 0.136 0.404 0.705
8 Rh 0.877 0.968 0.598
9 H 0.289 0.996 0.925
10 Rh 0.500 0.500 0.000
11 Rh 0.721 0.123 0.091
12 H 0.004 0.930 0.293
13 H 0.070 0.364 0.075
14 H 0.636 0.711 0.707

Output
Size of the total moment (μB per cell): 0.00
Total DFT energy (no corrections) (eV/atom): -5.121

=====

This record from the Alexandria database describes a geometry-optimized ScH3Rh structure. The functional is PBE.

Lattice parameters (Å, degrees): 3.001 6.015 5.332 90.00 89.74 90.00
Fractional positions:
1 H 0.951 0.585 0.241
2 Sc 0.943 0.750 0.821
3 H 0.446 0.750 0.587
4 Sc 0.057 0.250 0.179
5 H 0.554 0.250 0.413
6 Rh 0.551 0.250 0.755
7 H 0.951 0.915 0.241
8 H 0.049 0.085 0.759
9 H 0.049 0.415 0.759
10 Rh 0.449 0.750 0.245

Output
Size of the total moment (μB per cell): 0.00
Total DFT energy (no corrections) (eV/atom): -5.090

=====

This record from the Alexandria database describes a geometry-optimized ScH3Rh structure. The functional is PBE.

Lattice parameters (Å, degrees): 4.987 6.918 5.088 90.00 90.00 90.00
Fractional positions:
1 H 0.235 0.750 0.235
2 Rh 0.000 0.250 0.032
3 H 0.765 0.250 0.765
4 Rh 0.500 0.750 0.532
5 H 0.618 0.969 0.625
6 H 0.382 0.469 0.375
7 Rh 0.000 0.750 0.968
8 Sc 0.000 0.000 0.500
9 Sc 0.000 0.500 0.500
10 H 0.118 0.969 0.875
11 H 0.618 0.531 0.625
12 H 0.265 0.250 0.735
13 H 0.118 0.531 0.875
14 H 0.882 0.469 0.125
15 Sc 0.500 0.000 0.000
16 H 0.382 0.031 0.375
17 Rh 0.500 0.250 0.468
18 H 0.735 0.750 0.265
19 H 0.882 0.031 0.125
20 Sc 0.500 0.500 0.000

Output
Size of the total moment (μB per cell): 0.00
Total DFT energy (no corrections) (eV/atom): -5.089

=====

This record from the Alexandria database describes a geometry-optimized Sc2HRh structure. The functional is PBE.

Lattice parameters (Å, degrees): 3.250 6.292 6.772 110.46 103.90 90.00
Fractional positions:
1 H 0.437 0.378 0.449
2 Sc 0.036 0.510 0.646
3 Sc 0.316 0.513 0.206
4 Sc 0.345 0.046 0.265
5 Sc 0.625 0.049 0.825
6 Rh 0.953 0.856 0.480
7 H 0.224 0.181 0.022
8 Rh 0.708 0.704 0.990

Output
Size of the total moment (μB per cell): 0.00
Offset from the most stable computed form (eV/atom): 0.000
Total DFT energy (no corrections) (eV/atom): -6.525

=====

This record from the Alexandria database describes a geometry-optimized ScH3Rh structure. The functional is PBE.

Lattice parameters (Å, degrees): 3.584 3.584 7.770 76.66 76.66 90.00
Fractional positions:
1 H 0.087 0.869 0.262
2 H 0.667 0.667 0.665
3 H 0.651 0.869 0.262
4 Rh 0.858 0.358 0.285
5 Sc 0.250 0.750 0.500
6 H 0.333 0.333 0.335
7 H 0.131 0.349 0.738
8 Rh 0.642 0.142 0.715
9 H 0.131 0.913 0.738
10 Sc 0.000 0.000 0.000

Output
Size of the total moment (μB per cell): 0.00
Total DFT energy (no corrections) (eV/atom): -4.893

=====

This record from the Alexandria database describes a geometry-optimized ScH3Rh structure. The functional is PBE.

Lattice parameters (Å, degrees): 11.917 5.325 5.325 140.83 149.26 30.74
Fractional positions:
1 Rh 0.874 0.991 0.009
2 H 0.181 0.426 0.574
3 H 0.165 0.779 0.221
4 Sc 0.336 0.045 0.955
5 H 0.819 0.574 0.426
6 Rh 0.126 0.009 0.991
7 H 0.545 0.278 0.722
8 H 0.835 0.221 0.779
9 H 0.455 0.722 0.278
10 Sc 0.664 0.955 0.045

Output
Size of the total moment (μB per cell): 0.00
Total DFT energy (no corrections) (eV/atom): -5.205

=====

This record from the Alexandria database describes a geometry-optimized ScH3Rh structure. The functional is PBE.

Lattice parameters (Å, degrees): 3.672 3.672 3.672 96.70 96.70 96.70
Fractional positions:
1 Sc 0.498 0.498 0.498
2 H 0.664 0.664 0.054
3 H 0.054 0.664 0.664
4 H 0.664 0.054 0.664
5 Rh 0.995 0.995 0.995

Output
Size of the total moment (μB per cell): 0.00
Total DFT energy (no corrections) (eV/atom): -4.874

=====

This record from the Alexandria database describes a geometry-optimized Sc12H5Rh3 structure. The functional is PBE.

Lattice parameters (Å, degrees): 12.099 12.099 12.099 109.47 109.47 109.47
Fractional positions:
1 Sc 0.596 0.977 0.691
2 Sc 0.619 0.023 0.214
3 Sc 0.404 0.381 0.596
4 Sc 0.191 0.096 0.977
5 Sc 0.596 0.881 0.404
6 Sc 0.214 0.523 0.619
7 H 0.875 0.250 0.625
8 H 0.125 0.375 0.250
9 Sc 0.809 0.904 0.023
10 Sc 0.096 0.191 0.477
11 Sc 0.191 0.096 0.714
12 Sc 0.977 0.381 0.286
13 Sc 0.881 0.286 0.477
14 Sc 0.619 0.596 0.904
15 H 0.000 0.000 0.500
16 Sc 0.096 0.904 0.119
17 Sc 0.286 0.881 0.977
18 Sc 0.214 0.691 0.096
19 Sc 0.786 0.477 0.381
20 Sc 0.691 0.214 0.596
21 H 0.500 0.000 0.000
22 Rh 0.375 0.625 0.250
23 H 0.500 0.000 0.500
24 Sc 0.714 0.596 0.191
25 Rh 0.625 0.250 0.375
26 H 0.375 0.250 0.125
27 H 0.750 0.625 0.375
28 H 0.750 0.125 0.875
29 Rh 0.250 0.125 0.375
30 Rh 0.250 0.625 0.875
31 Sc 0.904 0.096 0.881
32 Rh 0.750 0.875 0.625
33 Sc 0.381 0.977 0.786
34 Sc 0.286 0.404 0.809
35 H 0.250 0.875 0.125
36 H 0.625 0.750 0.875
37 Sc 0.096 0.904 0.381
38 Sc 0.477 0.786 0.881
39 H 0.625 0.875 0.250
40 Rh 0.750 0.375 0.125
41 H 0.125 0.750 0.375
42 Sc 0.404 0.119 0.596
43 H 0.500 0.500 0.000
44 Sc 0.596 0.714 0.691
45 Sc 0.404 0.286 0.309
46 Sc 0.904 0.096 0.619
47 Sc 0.523 0.214 0.119
48 Sc 0.023 0.404 0.809
49 Rh 0.625 0.375 0.750
50 Rh 0.375 0.750 0.625
51 Sc 0.904 0.809 0.523
52 Sc 0.809 0.904 0.286
53 Sc 0.691 0.477 0.596
54 Sc 0.119 0.404 0.096
55 Rh 0.125 0.875 0.750
56 Rh 0.125 0.250 0.875
57 Sc 0.523 0.309 0.904
58 Sc 0.309 0.786 0.404
59 Sc 0.477 0.691 0.096
60 Sc 0.596 0.619 0.404
61 Sc 0.786 0.309 0.904
62 Sc 0.023 0.619 0.714
63 Rh 0.875 0.125 0.250
64 Sc 0.904 0.809 0.786
65 Sc 0.119 0.714 0.523
66 Sc 0.096 0.191 0.214
67 Sc 0.714 0.119 0.023
68 Sc 0.404 0.023 0.309
69 H 0.375 0.125 0.750
70 Sc 0.977 0.596 0.191
71 H 0.500 0.500 0.500
72 Rh 0.875 0.750 0.125
73 Sc 0.309 0.523 0.404
74 H 0.000 0.500 0.500
75 H 0.000 0.000 0.000
76 H 0.000 0.500 0.000
77 H 0.250 0.375 0.625
78 Sc 0.381 0.404 0.096
79 H 0.875 0.625 0.750
80 Sc 0.881 0.596 0.904

Output
Size of the total moment (μB per cell): 0.00
Total DFT energy (no corrections) (eV/atom): -6.197

=====

This record from the Alexandria database describes a geometry-optimized ScH3Rh structure. The functional is PBE.

Lattice parameters (Å, degrees): 3.345 3.345 9.244 90.00 90.00 120.00
Fractional positions:
1 Rh 0.333 0.667 0.750
2 H 0.000 0.000 0.750
3 Sc 0.000 0.000 0.000
4 H 0.333 0.667 0.937
5 Sc 0.000 0.000 0.500
6 Rh 0.667 0.333 0.250
7 H 0.333 0.667 0.563
8 H 0.000 0.000 0.250
9 H 0.667 0.333 0.437
10 H 0.667 0.333 0.063

Output
Size of the total moment (μB per cell): 0.00
Total DFT energy (no corrections) (eV/atom): -5.196

=====

This record from the Alexandria database describes a geometry-optimized SrScH8Rh2 structure. The functional is PBE.

Lattice parameters (Å, degrees): 4.951 4.951 6.456 67.46 67.46 60.00
Site moments in Bohr magnetons follow the coordinates.
Fractional positions:
1 H 0.368 0.902 0.143  0.00
2 Rh 0.306 0.306 0.081  0.01
3 H 0.587 0.368 0.143  0.00
4 Rh 0.694 0.694 0.919  0.01
5 H 0.632 0.098 0.857  0.00
6 Sc 0.000 0.000 0.000  0.08
7 H 0.206 0.206 0.383  0.00
8 Sr 0.500 0.500 0.500  0.01
9 H 0.794 0.794 0.617  0.00
10 H 0.098 0.413 0.857  0.00
11 H 0.902 0.587 0.143  0.00
12 H 0.413 0.632 0.857  0.00

Output
Size of the total moment (μB per cell): 0.19
Total DFT energy (no corrections) (eV/atom): -4.449

=====

This record from the Alexandria database describes a geometry-optimized Sr2ScH12Rh3 structure. The functional is PBE.

Lattice parameters (Å, degrees): 6.019 6.019 6.019 67.58 67.58 67.58
Fractional positions:
1 H 0.121 0.121 0.622
2 Sr 0.622 0.622 0.622
3 H 0.622 0.121 0.121
4 H 0.296 0.899 0.296
5 H 0.378 0.879 0.879
6 Sr 0.378 0.378 0.378
7 Rh 0.000 0.500 0.000
8 H 0.121 0.622 0.121
9 H 0.879 0.879 0.378
10 Rh 0.000 0.000 0.500
11 H 0.879 0.378 0.879
12 Sc 0.000 0.000 0.000
13 H 0.899 0.296 0.296
14 H 0.296 0.296 0.899
15 Rh 0.500 0.000 0.000
16 H 0.704 0.704 0.101
17 H 0.704 0.101 0.704
18 H 0.101 0.704 0.704

Output
Size of the total moment (μB per cell): 0.00
Total DFT energy (no corrections) (eV/atom): -4.428

=====

| no. | Fermi-level density of states (states/eV/atom) |
| --- | --- |
| 1 | 0.30 |
| 2 | 0.00 |
| 3 | 0.27 |
| 4 | 0.15 |
| 5 | 0.60 |
| 6 | 0.36 |
| 7 | 0.45 |
| 8 | 0.50 |
| 9 | 0.51 |
| 10 | 0.19 |
| 11 | 0.33 |
| 12 | 0.55 |
| 13 | 0.07 |
| 14 | 0.26 |
| 15 | 0.49 |
| 16 | 0.90 |
| 17 | 0.62 |
| 18 | 0.28 |
| 19 | 0.19 |